Record 1
La3Pr12Ag after structural relaxation, computed with PBE-GGA.

Its energy is -4.667 eV per atom. Its theoretical density is 6.575 Mg/m³. The energy of formation from the pure elements comes out at 20 meV per atom.

The structure belongs to space group P4/mmm (No. 123); the cell edges are 5.196, 5.196 and 20.727 Å and the angles 90.00°, 90.00° and 90.00°. The inequivalent atoms are La at (0.000, 0.000, 0.000), La at (0.000, 0.000, 0.256), Pr at (0.000, 0.500, 0.128), Pr at (0.000, 0.500, 0.383), Pr at (0.500, 0.500, 0.000), Pr at (0.500, 0.500, 0.259), Pr at (0.500, 0.500, 0.500) and Ag at (0.000, 0.000, 0.500).

---

Record 2
LaPr6Ag2 after structural relaxation, computed with PBE-GGA.

Its energy is -4.469 eV per atom. Its theoretical density is 6.860 Mg/m³. The excess energy over the best structure of this formula in the dataset is 0.0000 eV/atom. The energy of formation from the pure elements comes out at -102 meV per atom.

The structure belongs to space group C2/m (No. 12); the cell edges are 13.035, 3.816 and 12.298 Å and the angles 90.00°, 108.25° and 90.00°. The inequivalent atoms are La at (0.000, 0.000, 0.000), Pr at (0.024, 0.000, 0.334), Pr at (0.184, 0.500, 0.876), Pr at (0.187, 0.500, 0.589) and Ag at (0.150, 0.500, 0.204).

---

Record 3
La5PrAg4 after structural relaxation, computed with PBE-GGA.

Its energy is -4.283 eV per atom. Its theoretical density is 7.072 Mg/m³. The energy of formation from the pure elements comes out at -201 meV per atom.

The structure belongs to space group P4/mmm (No. 123); the cell edges are 3.806, 3.806 and 20.536 Å and the angles 90.00°, 90.00° and 90.00°. The inequivalent atoms are La at (0.000, 0.000, 0.000), La at (0.000, 0.000, 0.189), La at (0.000, 0.000, 0.375), Pr at (0.500, 0.500, 0.500), Ag at (0.500, 0.500, 0.094) and Ag at (0.500, 0.500, 0.283).

---

Record 4
LaPr4Ag4 after structural relaxation, computed with PBE-GGA.

Its energy is -3.961 eV per atom. Its theoretical density is 6.713 Mg/m³. The energy of formation from the pure elements comes out at -22 meV per atom.

The structure belongs to space group P4_2/n (No. 86, origin choice 2); the cell edges are 9.255, 9.255 and 6.551 Å and the angles 90.00°, 90.00° and 90.00°. The inequivalent atoms are La at (0.250, 0.250, 0.250), Pr at (0.046, 0.659, 0.145) and Ag at (0.029, 0.631, 0.617).

---

Record 5
LaPr2Ag2 after structural relaxation, computed with PBE-GGA.

Its energy is -4.122 eV per atom. Its theoretical density is 6.683 Mg/m³. The excess energy over the best structure of this formula in the dataset is 0.0985 eV/atom. The energy of formation from the pure elements comes out at -84 meV per atom.

The structure belongs to space group P2_1/m (No. 11); the cell edges are 5.372, 5.036 and 11.777 Å and the angles 90.00°, 96.86° and 90.00°. The inequivalent atoms are La at (0.198, 0.250, 0.246), Pr at (0.249, 0.750, 0.490), Pr at (0.344, 0.250, 0.885), Ag at (0.131, 0.750, 0.001) and Ag at (0.283, 0.250, 0.637).

---

Record 6
La5Pr2Ag after structural relaxation, computed with PBE-GGA.

Its energy is -4.677 eV per atom. Its theoretical density is 6.526 Mg/m³. The excess energy over the best structure of this formula in the dataset is 0.0000 eV/atom. The energy of formation from the pure elements comes out at -47 meV per atom.

The structure belongs to space group Pbam (No. 55); the cell edges are 8.763, 16.373 and 3.845 Å and the angles 90.00°, 90.00° and 90.00°. The inequivalent atoms are La at (0.000, 0.000, 0.000), La at (0.001, 0.227, 0.000), La at (0.212, 0.615, 0.500), Pr at (0.212, 0.386, 0.500) and Ag at (0.000, 0.500, 0.000).

---

Record 7
LaPr5Ag4 after structural relaxation, computed with PBE-GGA.

Its energy is -4.213 eV per atom. Its theoretical density is 7.320 Mg/m³. The energy of formation from the pure elements comes out at -190 meV per atom.

The structure belongs to space group P4/mmm (No. 123); the cell edges are 3.768, 3.768 and 20.371 Å and the angles 90.00°, 90.00° and 90.00°. The inequivalent atoms are La at (0.000, 0.000, 0.000), Pr at (0.500, 0.500, 0.126), Pr at (0.500, 0.500, 0.312), Pr at (0.500, 0.500, 0.500), Ag at (0.000, 0.000, 0.219) and Ag at (0.000, 0.000, 0.406).

---

Record 8
La2PrAg after structural relaxation, computed with PBE-GGA.

Its energy is -4.313 eV per atom. Its theoretical density is 7.112 Mg/m³. The excess energy over the best structure of this formula in the dataset is 0.1718 eV/atom. The energy of formation from the pure elements comes out at 58 meV per atom.

The structure belongs to space group Fm-3m (No. 225); the cell edges are 7.893, 7.893 and 7.893 Å and the angles 90.00°, 90.00° and 90.00°. The inequivalent atoms are La at (0.250, 0.250, 0.250), Pr at (0.000, 0.000, 0.000) and Ag at (0.000, 0.000, 0.500).

---

Record 9
La2Pr2Ag3 after structural relaxation, computed with PBE-GGA.

Its energy is -4.105 eV per atom. Its theoretical density is 6.944 Mg/m³. The energy of formation from the pure elements comes out at -110 meV per atom.

The structure belongs to space group P-1 (No. 2); the cell edges are 5.293, 5.301 and 9.156 Å and the angles 73.74°, 73.62° and 60.39°. The inequivalent atoms are La at (0.128, 0.128, 0.117), Pr at (0.377, 0.377, 0.368), Ag at (0.000, 0.000, 0.500) and Ag at (0.252, 0.252, 0.743).

---

Record 10
LaPr3Ag4 after structural relaxation, computed with PBE-GGA.

Its energy is -4.083 eV per atom. Its theoretical density is 7.555 Mg/m³. The energy of formation from the pure elements comes out at -249 meV per atom.

The structure belongs to space group P4/mmm (No. 123); the cell edges are 3.794, 3.794 and 15.163 Å and the angles 90.00°, 90.00° and 90.00°. The inequivalent atoms are La at (0.000, 0.000, 0.000), Pr at (0.000, 0.000, 0.251), Pr at (0.000, 0.000, 0.500), Ag at (0.500, 0.500, 0.128) and Ag at (0.500, 0.500, 0.376).

---

Record 11
LaPr2Ag6 after structural relaxation, computed with PBE-GGA.

Its energy is -3.777 eV per atom. Its theoretical density is 7.998 Mg/m³. The excess energy over the best structure of this formula in the dataset is 0.0000 eV/atom. The energy of formation from the pure elements comes out at -266 meV per atom.

The structure belongs to space group P6/mmm (No. 191); the cell edges are 8.3675, 8.3675 and 3.6567 Å and the angles 90.00°, 90.00° and 120.00°. The inequivalent atoms are La at (0.0000, 0.0000, 0.0000), Pr at (0.3333, 0.6667, 0.0000) and Ag at (0.0000, 0.3339, 0.5000).

---

Record 12
LaPr4Ag5 after structural relaxation, computed with PBE-GGA.

Its energy is -4.077 eV per atom. Its theoretical density is 7.564 Mg/m³. The energy of formation from the pure elements comes out at -247 meV per atom.

The structure belongs to space group P4/mmm (No. 123); the cell edges are 3.761, 3.761 and 19.275 Å and the angles 90.00°, 90.00° and 90.00°. The inequivalent atoms are La at (0.000, 0.000, 0.000), Pr at (0.000, 0.000, 0.201), Pr at (0.000, 0.000, 0.400), Ag at (0.500, 0.500, 0.103), Ag at (0.500, 0.500, 0.301) and Ag at (0.500, 0.500, 0.500).

---

Record 13
La8PrAg2 after structural relaxation, computed with PBE-GGA.

Its energy is -4.595 eV per atom. Its theoretical density is 6.632 Mg/m³. The excess energy over the best structure of this formula in the dataset is 0.0000 eV/atom. The energy of formation from the pure elements comes out at -59 meV per atom.

The structure belongs to space group C2/m (No. 12); the cell edges are 17.243, 5.499 and 8.566 Å and the angles 90.00°, 115.16° and 90.00°. The inequivalent atoms are La at (0.050, 0.000, 0.240), La at (0.106, 0.500, 0.973), La at (0.156, 0.000, 0.720), La at (0.191, 0.500, 0.467), Pr at (0.000, 0.500, 0.500) and Ag at (0.212, 0.000, 0.133).

---

Record 14
La3PrAg7 after structural relaxation, computed with PBE-GGA.

Its energy is -3.764 eV per atom. Its theoretical density is 7.350 Mg/m³. The energy of formation from the pure elements comes out at -171 meV per atom.

The structure belongs to space group Cmcm (No. 63); the cell edges are 3.931, 21.150 and 14.268 Å and the angles 90.00°, 90.00° and 90.00°. The inequivalent atoms are La at (0.000, 0.122, 0.031), La at (0.000, 0.229, 0.750), Pr at (0.000, 0.012, 0.750), Ag at (0.000, 0.269, 0.065), Ag at (0.000, 0.384, 0.152), Ag at (0.000, 0.391, 0.750) and Ag at (0.000, 0.488, 0.592).

---

Record 15
LaPr3Ag after structural relaxation, computed with PBE-GGA.

Its energy is -4.500 eV per atom. Its theoretical density is 6.732 Mg/m³. The excess energy over the best structure of this formula in the dataset is 0.0000 eV/atom. The energy of formation from the pure elements comes out at -76 meV per atom.

The structure belongs to space group P-1 (No. 2); the cell edges are 3.804, 6.896 and 13.104 Å and the angles 91.74°, 90.01° and 105.99°. The inequivalent atoms are La at (0.226, 0.450, 0.241), Pr at (0.042, 0.083, 0.692), Pr at (0.138, 0.275, 0.956), Pr at (0.365, 0.731, 0.530) and Ag at (0.449, 0.898, 0.867).

---

Record 16
LaPr2Ag8 after structural relaxation, computed with PBE-GGA.

Its energy is -3.609 eV per atom. Its theoretical density is 8.262 Mg/m³. The energy of formation from the pure elements comes out at -219 meV per atom.

The structure belongs to space group P-1 (No. 2); the cell edges are 5.291, 6.253 and 8.801 Å and the angles 69.31°, 72.51° and 89.93°. The inequivalent atoms are La at (0.000, 0.000, 0.000), Pr at (0.185, 0.685, 0.630), Ag at (0.202, 0.202, 0.596), Ag at (0.252, 0.501, 0.000), Ag at (0.371, 0.097, 0.257) and Ag at (0.371, 0.646, 0.258).

---

Record 17
LaPr4Ag after structural relaxation, computed with PBE-GGA.

Its energy is -4.547 eV per atom. Its theoretical density is 6.699 Mg/m³. The excess energy over the best structure of this formula in the dataset is 0.0000 eV/atom. The energy of formation from the pure elements comes out at -64 meV per atom.

The structure belongs to space group P4/mmm (No. 123); the cell edges are 3.744, 3.744 and 14.332 Å and the angles 90.00°, 90.00° and 90.00°. The inequivalent atoms are La at (0.000, 0.000, 0.000), Pr at (0.000, 0.000, 0.366), Pr at (0.500, 0.500, 0.183) and Ag at (0.500, 0.500, 0.500).

---

Record 18
La3Pr2Ag after structural relaxation, computed with PBE-GGA.

Its energy is -4.584 eV per atom. Its theoretical density is 6.633 Mg/m³. The energy of formation from the pure elements comes out at -52 meV per atom.

The structure belongs to space group Cmmm (No. 65); the cell edges are 5.833, 18.068 and 3.831 Å and the angles 90.00°, 90.00° and 90.00°. The inequivalent atoms are La at (0.000, 0.000, 0.000), La at (0.000, 0.181, 0.500), Pr at (0.000, 0.360, 0.000) and Ag at (0.000, 0.500, 0.500).

---

Record 19
La2Pr3Ag2 after structural relaxation, computed with PBE-GGA.

Its energy is -4.358 eV per atom. Its theoretical density is 6.947 Mg/m³. The excess energy over the best structure of this formula in the dataset is 0.0279 eV/atom. The energy of formation from the pure elements comes out at -87 meV per atom.

The structure belongs to space group Cmmm (No. 65); the cell edges are 3.754, 31.246 and 3.734 Å and the angles 90.00°, 90.00° and 90.00°. The inequivalent atoms are La at (0.000, 0.206, 0.000), Pr at (0.000, 0.084, 0.000), Pr at (0.000, 0.500, 0.500) and Ag at (0.000, 0.358, 0.500).

---

Record 20
LaPr8Ag2 after structural relaxation, computed with PBE-GGA.

Its energy is -4.407 eV per atom. Its theoretical density is 6.651 Mg/m³. The energy of formation from the pure elements comes out at 35 meV per atom.

The structure belongs to space group C2/m (No. 12); the cell edges are 15.671, 7.050 and 6.799 Å and the angles 90.00°, 99.91° and 90.00°. The inequivalent atoms are La at (0.000, 0.000, 0.000), Pr at (0.086, 0.500, 0.903), Pr at (0.108, 0.263, 0.415), Pr at (0.208, 0.000, 0.839) and Ag at (0.248, 0.000, 0.300).